Record 1
YN after structural relaxation. Source: the Alexandria database, functional PBE.

The space group is P6_3/mmc (No. 194) and the conventional cell measures 4.0378, 4.0378 and 4.9297 Å, with angles of 90.00, 90.00 and 120.00 degrees. The asymmetric unit holds Y at (0.3333, 0.6667, 0.2500) and N at (0.3333, 0.6667, 0.7500).

The value obtained for the total energy is -9.001 eV per atom. Its uncorrected formation energy is -1.606 eV/atom.

Record 2
CeGdTc2 after structural relaxation. Source: the Alexandria database, functional PBE.

The space group is Fm-3m (No. 225) and the conventional cell measures 6.8785, 6.8785 and 6.8785 Å, with angles of 90.00, 90.00 and 90.00 degrees. The asymmetric unit holds Ce at (0.0000, 0.0000, 0.0000), Gd at (0.0000, 0.0000, 0.5000) and Tc at (0.2500, 0.2500, 0.2500).

The energy of formation from the pure elements comes out at 0.092 eV per atom. The value obtained for the total energy is -10.095 eV per atom. Its energy above the most stable polymorph in this dataset is 40.0 meV/atom.